1.
DFT (PBE) results for a relaxed structure of FePdC3.

Lattice parameters (Å, degrees): 3.945 3.945 3.945 90.00 90.00 90.00
Sites, in units of the cell vectors:
C 0.000 0.500 0.000
C 0.000 0.000 0.500
C 0.500 0.000 0.000
Fe 0.500 0.500 0.500
Pd 0.000 0.000 0.000

Results
ΔE_f   3.059 eV/atom
Polymorph energy (0 for the lowest one)   586 kJ/mol of formula units

---

2.
DFT (PBE) results for a relaxed structure of FePdC3.

Lattice parameters (Å, degrees): 3.732 3.732 3.732 90.00 90.00 90.00
Sites, in units of the cell vectors:
C 0.000 0.500 0.000
C 0.000 0.000 0.500
C 0.500 0.000 0.000
Fe 0.000 0.000 0.000
Pd 0.500 0.500 0.500

Results
ΔE_f   1.845 eV/atom
Polymorph energy (0 for the lowest one)   0 kJ/mol of formula units

---

3.
DFT (PBE) results for a relaxed structure of FePd3C.

Lattice parameters (Å, degrees): 4.129 4.129 4.129 90.00 90.00 90.00
Sites, in units of the cell vectors:
C 0.000 0.000 0.000
Fe 0.500 0.500 0.500
Pd 0.000 0.500 0.000
Pd 0.000 0.000 0.500
Pd 0.500 0.000 0.000

Results
ΔE_f   0.426 eV/atom
Polymorph energy (0 for the lowest one)   0 kJ/mol of formula units

---

4.
DFT (PBE) results for a relaxed structure of Fe2PdC.

Lattice parameters (Å, degrees): 2.839 2.839 6.585 77.55 77.55 60.00
Sites, in units of the cell vectors:
C 0.000 0.000 0.000
Fe 0.719 0.719 0.842
Fe 0.281 0.281 0.158
Pd 0.500 0.500 0.500

Results
ΔE_f   0.096 eV/atom

---

5.
DFT (PBE) results for a relaxed structure of FePdC2.

Lattice parameters (Å, degrees): 3.759 3.759 3.759 60.00 60.00 60.00
Sites, in units of the cell vectors:
C 0.250 0.250 0.250
C 0.750 0.750 0.750
Fe 0.000 0.000 0.000
Pd 0.500 0.500 0.500

Results
ΔE_f   1.576 eV/atom
Polymorph energy (0 for the lowest one)   311 kJ/mol of formula units

---

6.
DFT (PBE) results for a relaxed structure of FePdC2.

Lattice parameters (Å, degrees): 4.507 4.507 5.463 65.64 65.64 90.00
Sites, in units of the cell vectors:
C 0.575 0.125 0.250
C 0.175 0.625 0.250
C 0.375 0.425 0.750
C 0.875 0.825 0.750
Fe 0.500 0.500 0.000
Fe 0.250 0.750 0.500
Pd 0.000 0.000 0.000
Pd 0.750 0.250 0.500

Results
ΔE_f   0.771 eV/atom
Polymorph energy (0 for the lowest one)   0 kJ/mol of formula units

---

7.
DFT (PBE) results for a relaxed structure of Rb2FePdC.

Lattice parameters (Å, degrees): 6.272 3.639 6.272 90.00 90.00 90.00
Sites, in units of the cell vectors:
C 0.000 0.000 0.000
Rb 0.000 0.000 0.500
Rb 0.500 0.000 0.000
Pd 0.500 0.500 0.500
Fe 0.000 0.500 0.000

Results
ΔE_f   0.904 eV/atom

---

8.
DFT (PBE) results for a relaxed structure of FePdRh2C.

Lattice parameters (Å, degrees): 4.921 3.646 4.921 90.00 90.00 90.00
Sites, in units of the cell vectors:
C 0.000 0.500 0.000
Rh 0.000 0.000 0.500
Rh 0.500 0.000 0.000
Fe 0.500 0.500 0.500
Pd 0.000 0.000 0.000

Results
ΔE_f   2.149 eV/atom
Polymorph energy (0 for the lowest one)   955 kJ/mol of formula units

---

9.
DFT (PBE) results for a relaxed structure of FePdRh2C.

Lattice parameters (Å, degrees): 4.037 4.037 3.967 90.00 90.00 90.00
Sites, in units of the cell vectors:
C 0.000 0.000 0.000
Rh 0.000 0.500 0.000
Rh 0.500 0.000 0.000
Fe 0.000 0.000 0.500
Pd 0.500 0.500 0.500

Results
ΔE_f   0.170 eV/atom
Polymorph energy (0 for the lowest one)   0 kJ/mol of formula units

---

10.
DFT (PBE) results for a relaxed structure of Fe2PdRhC.

Lattice parameters (Å, degrees): 3.912 3.912 4.001 90.00 90.00 90.00
Sites, in units of the cell vectors:
C 0.000 0.000 0.000
Rh 0.000 0.000 0.500
Fe 0.000 0.500 0.000
Fe 0.500 0.000 0.000
Pd 0.500 0.500 0.500

Results
ΔE_f   0.122 eV/atom

---

11.
DFT (PBE) results for a relaxed structure of FePdRu2C.

Lattice parameters (Å, degrees): 4.869 3.625 4.869 90.00 90.00 90.00
Sites, in units of the cell vectors:
Ru 0.000 0.000 0.500
Ru 0.500 0.000 0.000
C 0.000 0.500 0.000
Fe 0.500 0.500 0.500
Pd 0.000 0.000 0.000

Results
ΔE_f   2.503 eV/atom

---

12.
DFT (PBE) results for a relaxed structure of Sc2FePdC.

Lattice parameters (Å, degrees): 4.569 4.569 3.604 90.00 90.00 90.00
Sites, in units of the cell vectors:
Sc 0.000 0.500 0.000
Sc 0.500 0.000 0.000
C 0.000 0.000 0.000
Fe 0.000 0.000 0.500
Pd 0.500 0.500 0.500

Results
ΔE_f   -0.545 eV/atom

---

13.
DFT (PBE) results for a relaxed structure of Fe2TcPdC.

Lattice parameters (Å, degrees): 3.914 3.914 4.021 90.00 90.00 90.00
Sites, in units of the cell vectors:
C 0.000 0.000 0.000
Tc 0.000 0.000 0.500
Pd 0.500 0.500 0.500
Fe 0.000 0.500 0.000
Fe 0.500 0.000 0.000

Results
ΔE_f   0.166 eV/atom

---

14.
DFT (PBE) results for a relaxed structure of FeTePdC2.

Lattice parameters (Å, degrees): 3.706 5.394 3.706 90.00 90.00 90.00
Sites, in units of the cell vectors:
C 0.000 0.000 0.500
C 0.500 0.000 0.000
Te 0.500 0.500 0.500
Fe 0.000 0.000 0.000
Pd 0.000 0.500 0.000

Results
Uncorrected formation energy   1.16 eV/atom

---

15.
DFT (PBE) results for a relaxed structure of Ti2FePdC.

Lattice parameters (Å, degrees): 4.208 4.208 3.713 90.00 90.00 90.00
Sites, in units of the cell vectors:
C 0.000 0.000 0.000
Fe 0.000 0.000 0.500
Pd 0.500 0.500 0.500
Ti 0.000 0.500 0.000
Ti 0.500 0.000 0.000

Results
ΔE_f   -0.449 eV/atom

---

16.
DFT (PBE) results for a relaxed structure of TiFe2PdC.

Lattice parameters (Å, degrees): 4.597 4.669 4.597 90.00 90.00 90.00
Sites, in units of the cell vectors:
C 0.500 0.500 0.500
Fe 0.000 0.000 0.500
Fe 0.500 0.000 0.000
Pd 0.000 0.000 0.000
Ti 0.000 0.500 0.000

Results
ΔE_f   2.115 eV/atom

---

17.
DFT (PBE) results for a relaxed structure of V2FePdC.

Lattice parameters (Å, degrees): 3.995 3.995 3.780 90.00 90.00 90.00
Sites, in units of the cell vectors:
C 0.000 0.000 0.000
Fe 0.000 0.000 0.500
Pd 0.500 0.500 0.500
V 0.000 0.500 0.000
V 0.500 0.000 0.000

Results
ΔE_f   -0.160 eV/atom

---

18.
DFT (PBE) results for a relaxed structure of VFe2PdC.

Lattice parameters (Å, degrees): 3.816 3.816 4.002 90.00 90.00 90.00
Sites, in units of the cell vectors:
C 0.000 0.000 0.000
Fe 0.000 0.500 0.000
Fe 0.500 0.000 0.000
Pd 0.500 0.500 0.500
V 0.000 0.000 0.500

Results
ΔE_f   -0.021 eV/atom

---

19.
DFT (PBE) results for a relaxed structure of YFePd2C.

Lattice parameters (Å, degrees): 4.349 3.888 4.349 90.00 90.00 90.00
Sites, in units of the cell vectors:
Y 0.500 0.500 0.500
C 0.000 0.000 0.000
Fe 0.000 0.500 0.000
Pd 0.000 0.000 0.500
Pd 0.500 0.000 0.000

Results
ΔE_f   -0.166 eV/atom

---

20.
DFT (PBE) results for a relaxed structure of ZrFe2PdC.

Lattice parameters (Å, degrees): 4.738 3.781 4.738 90.00 90.00 90.00
Sites, in units of the cell vectors:
C 0.000 0.500 0.000
Zr 0.500 0.500 0.500
Pd 0.000 0.000 0.000
Fe 0.000 0.000 0.500
Fe 0.500 0.000 0.000

Results
ΔE_f   1.162 eV/atom

---

21.
DFT (PBE) results for a relaxed structure of Zr2FePdC.

Lattice parameters (Å, degrees): 4.617 4.617 3.662 90.00 90.00 90.00
Sites, in units of the cell vectors:
C 0.000 0.000 0.000
Zr 0.000 0.500 0.000
Zr 0.500 0.000 0.000
Pd 0.500 0.500 0.500
Fe 0.000 0.000 0.500

Results
ΔE_f   -0.479 eV/atom

---

22.
DFT (PBE) results for a relaxed structure of Pm3Fe2C4.

Lattice parameters (Å, degrees): 3.543 5.977 6.676 88.66 90.00 107.24
Sites, in units of the cell vectors:
Pm 0.371 0.742 0.480
Pm 0.000 0.000 0.000
Pm 0.629 0.258 0.520
Fe 0.250 0.501 0.120
Fe 0.750 0.499 0.880
C 0.663 0.327 0.137
C 0.218 0.436 0.759
C 0.782 0.564 0.241
C 0.337 0.673 0.863

Results
ΔE_f   0.013 eV/atom

---

23.
DFT (PBE) results for a relaxed structure of PmFe2C2.

Lattice parameters (Å, degrees): 5.192 5.192 5.479 107.84 107.84 110.69
Sites, in units of the cell vectors:
Pm 0.875 0.625 0.750
Pm 0.125 0.375 0.250
Fe 0.243 0.993 0.485
Fe 0.493 0.743 0.985
Fe 0.757 0.007 0.515
Fe 0.507 0.257 0.015
C 0.194 0.306 0.750
C 0.444 0.056 0.250
C 0.556 0.944 0.750
C 0.806 0.694 0.250

Results
ΔE_f   -0.217 eV/atom

---

24.
DFT (PBE) results for a relaxed structure of PmFeC3.

Lattice parameters (Å, degrees): 6.401 6.259 5.897 90.00 90.00 90.00
Sites, in units of the cell vectors:
Pm 0.750 0.082 0.517
Pm 0.250 0.582 0.983
Pm 0.250 0.918 0.483
Pm 0.750 0.418 0.017
Fe 0.000 0.000 0.000
Fe 0.000 0.500 0.500
Fe 0.500 0.000 0.000
Fe 0.500 0.500 0.500
C 0.957 0.754 0.231
C 0.043 0.254 0.269
C 0.457 0.246 0.769
C 0.543 0.746 0.731
C 0.043 0.246 0.769
C 0.957 0.746 0.731
C 0.543 0.754 0.231
C 0.457 0.254 0.269
C 0.750 0.798 0.200
C 0.250 0.298 0.300
C 0.250 0.202 0.800
C 0.750 0.702 0.700

Results
ΔE_f   0.244 eV/atom

---

25.
DFT (PBE) results for a relaxed structure of PmFeC2.

Lattice parameters (Å, degrees): 3.895 3.895 6.107 71.40 71.40 60.00
Sites, in units of the cell vectors:
C 0.103 0.103 0.691
C 0.897 0.897 0.309
Fe 0.000 0.000 0.000
Pm 0.500 0.500 0.500

Results
ΔE_f   1.156 eV/atom
Polymorph energy (0 for the lowest one)   522 kJ/mol of formula units

---

26.
DFT (PBE) results for a relaxed structure of Pm5Fe2C5.

Lattice parameters (Å, degrees): 3.524 6.988 12.051 130.57 90.00 104.60
Sites, in units of the cell vectors:
Pm 0.500 0.000 0.500
Pm 0.648 0.296 0.029
Pm 0.654 0.307 0.325
Pm 0.346 0.693 0.675
Pm 0.352 0.704 0.971
Fe 0.061 0.121 0.738
Fe 0.939 0.879 0.262
C 0.109 0.219 0.436
C 0.619 0.238 0.795
C 0.381 0.762 0.205
C 0.891 0.781 0.564
C 0.000 0.000 0.000

Results
ΔE_f   -0.003 eV/atom

---

27.
DFT (PBE) results for a relaxed structure of PmFeC2.

Lattice parameters (Å, degrees): 3.895 3.723 3.723 104.90 90.00 90.00
Sites, in units of the cell vectors:
Pm 0.000 0.004 0.996
Fe 0.500 0.614 0.386
C 0.500 0.143 0.547
C 0.500 0.453 0.857

Results
ΔE_f   -0.196 eV/atom
Polymorph energy (0 for the lowest one)   0 kJ/mol of formula units